(1)
IrI2Br | PBE | relaxed

Results
The energy relative to the lowest polymorph listed for this composition is 1.555 eV/f.u. The magnetization is 0.0 Bohr magnetons per cell. The symmetry is I-42d, No. 122. The formation energy from raw total energies comes out at 0.383 eV/atom. The calculation puts the electronic total energy at -3.026 eV/atom.

Geometry as extended XYZ:
```
8
Lattice="-5.7589 5.1497 -0.6814 -2.2445 -1.5493 7.2603 -1.3178 5.0018 4.8023" Properties=species:S:1:pos:R:3 pbc="T T T"
I -4.7108 4.7238 1.6229
I -1.9506 0.4774 5.7124
I -3.7942 5.2364 5.4365
I -8.1867 6.7668 9.9904
Ir 0.0000 0.0000 0.0000
Ir -5.5392 5.9759 3.7051
Br -4.0017 1.8002 3.2894
Br -3.7820 2.6264 7.6760
```



(2)
Cs2MnTcBr6 | PBE | relaxed

Results
The magnetization is 0.0 Bohr magnetons per cell. The symmetry is Fm-3m, No. 225. The formation energy from raw total energies comes out at -0.924 eV/atom. The calculation puts the electronic total energy at -4.052 eV/atom.

Geometry as extended XYZ:
```
10
Lattice="7.7513 0.0000 0.0000 0.0000 7.7513 0.0000 3.8757 3.8757 5.4849" Properties=species:S:1:pos:R:3 pbc="T T T"
Cs 7.7513 3.8757 2.7424
Cs 3.8757 7.7513 2.7424
Mn 3.8757 3.8757 0.0000
Tc 0.0000 0.0000 0.0000
Br 3.8757 3.8757 2.6975
Br 7.7513 7.7513 2.7874
Br 1.9681 1.9681 0.0000
Br 5.7832 5.7832 0.0000
Br 5.7832 1.9681 0.0000
Br 1.9681 5.7832 0.0000
```



(3)
CaN3O | PBE | relaxed

Results
The magnetization is 0.0 Bohr magnetons per cell. The symmetry is Pm-3m, No. 221. The formation energy from raw total energies comes out at 1.747 eV/atom. The calculation puts the electronic total energy at -4.640 eV/atom.

Geometry as extended XYZ:
```
5
Lattice="3.6753 0.0000 0.0000 0.0000 3.6753 0.0000 0.0000 0.0000 3.6753" Properties=species:S:1:pos:R:3 pbc="T T T"
Ca 1.8376 1.8376 1.8376
O 0.0000 0.0000 0.0000
N 0.0000 1.8376 0.0000
N 0.0000 0.0000 1.8376
N 1.8376 0.0000 0.0000
```



(4)
NbBi2As | PBE | relaxed

Results
The magnetization is 4.0 Bohr magnetons per cell. The symmetry is I-42d, No. 122. The calculation puts the electronic total energy at -4.901 eV/atom. The calculation puts the energy relative to the elements at 0.7191 eV/atom.

Geometry as extended XYZ:
```
8
Lattice="-0.2579 5.9140 -2.8399 -6.3641 -0.9158 -1.3291 -4.9113 5.2114 3.7092" Properties=species:S:1:pos:R:3 pbc="T T T"
As -3.3110 2.4991 -2.0845
As -7.2932 3.3974 0.1478
Nb 0.0000 0.0000 0.0000
Nb -4.2401 6.8123 -0.6076
Bi -2.1861 4.9212 -1.0313
Bi -5.2361 1.4332 -0.2408
Bi -6.1274 5.7886 1.2267
Bi -9.5171 8.2764 -0.8742
```